First-principles (PBE-GGA) data for crystalline TbYGa4 at its relaxed geometry, as listed in the Alexandria database.

a = 5.520 Å, b = 5.520 Å, c = 5.520 Å
α = 60.00°, β = 60.00°, γ = 60.00°
Fractional positions:
Tb 0.000 0.000 0.000
Y 0.750 0.750 0.750
Ga 0.375 0.375 0.375
Ga 0.375 0.375 0.875
Ga 0.375 0.875 0.375
Ga 0.875 0.375 0.375

## Properties
- Energy relative to the lowest polymorph listed for this composition: 98 meV per atom
- M_tot: 0.000 μB per cell
- E_form: -0.566 eV/atom
- Space-group type: No. 216


First-principles (PBE-GGA) data for crystalline Er4AlTl3 at its relaxed geometry, as listed in the Alexandria database.

a = 3.648 Å, b = 3.648 Å, c = 15.480 Å
α = 90.00°, β = 90.00°, γ = 90.00°
Fractional positions:
Er 0.000 0.000 0.113
Er 0.000 0.000 0.371
Er 0.000 0.000 0.629
Er 0.000 0.000 0.887
Al 0.500 0.500 0.000
Tl 0.500 0.500 0.243
Tl 0.500 0.500 0.500
Tl 0.500 0.500 0.757

## Properties
- M_tot: 0.000 μB per cell
- E_form: -0.330 eV/atom
- Space-group type: No. 123